# 1
Compound: LaOsPd2F
Source: Alexandria via LeMat-Bulk
Functional: GGA-PBE
Structure: relaxed

Output
* space group: P4/mmm (123)
* total magnetic moment: 0.340 μB per atom
* electronic total energy: -28.6 eV/cell
* raw formation energy: -1.1 kcal/mol of atoms

```
LaOsPd2F
1.0
4.4893 0.0000 0.0000
0.0000 4.4893 0.0000
0.0000 0.0000 4.6030
La Os Pd F
1 1 2 1
Cartesian
0.0000 0.0000 0.0000
2.2447 2.2447 0.0000
0.0000 2.2447 2.3015
2.2447 0.0000 2.3015
0.0000 0.0000 2.3015
```

***

# 2
Compound: Pr3Si2TePt9
Source: Alexandria via LeMat-Bulk
Functional: GGA-PBE
Structure: relaxed

Output
* space group: P-3m1 (164)
* total magnetic moment: 0.000 μB per atom
* electronic total energy: -94.4 eV/cell
* raw formation energy: -18.0 kcal/mol of atoms

```
Pr3Si2TePt9
1.0
5.7806 0.0000 0.0000
-2.8903 5.0061 0.0000
0.0000 0.0000 11.5473
Pr Si Te Pt
3 2 1 9
Cartesian
0.0000 0.0000 0.0000
0.0000 3.3374 8.8333
2.8903 1.6687 2.7140
0.0000 3.3374 1.8640
2.8903 1.6687 9.6833
0.0000 0.0000 5.7736
-1.4451 2.5031 0.0000
0.0000 1.6397 3.5444
-1.4703 4.1863 3.5444
1.4200 0.8199 8.0029
2.8903 0.0000 0.0000
1.4451 2.5031 0.0000
1.4703 4.1863 3.5444
4.3605 0.8199 8.0029
2.8903 3.3664 8.0029
```

***

# 3
Compound: AlNiC
Source: Alexandria via LeMat-Bulk
Functional: GGA-PBE
Structure: relaxed

Output
* space group: P1 (1)
* total magnetic moment: 0.000 μB per atom
* electronic total energy: -36.8 eV/cell
* energy relative to the lowest polymorph listed for this composition: 52.4 meV/atom
* energy of formation: 0.115 eV/atom

```
AlNiC
1.0
3.2227 0.0000 0.0000
-0.0419 3.6608 0.0000
-0.5406 -1.0554 5.7037
Al Ni C
2 2 2
Cartesian
0.0000 0.0000 0.0000
1.0808 2.5681 3.3130
1.5348 1.8845 0.6724
2.6535 0.7520 4.1260
1.6074 0.0127 1.3373
1.8634 0.7878 2.4208
```

***

# 4
Compound: Pr3Sm3Tl2Ga
Source: Alexandria via LeMat-Bulk
Functional: GGA-PBE
Structure: relaxed

Output
* space group: P-62m (189)
* total magnetic moment: 0.000 μB per atom
* electronic total energy: -38.9 eV/cell
* energy of formation: -0.296 eV/atom

```
Pr3Sm3Tl2Ga
1.0
9.0754 0.0000 0.0000
-4.5377 7.8596 0.0000
0.0000 0.0000 3.8527
Pr Sm Tl Ga
3 3 2 1
Cartesian
-3.3173 5.7457 0.0000
1.2204 2.1139 0.0000
6.6346 0.0000 0.0000
-1.7681 3.0625 1.9263
3.5363 0.0000 1.9263
2.7696 4.7971 1.9263
0.0000 5.2397 0.0000
4.5377 2.6199 0.0000
0.0000 0.0000 1.9263
```

***

# 5
Compound: TbPm2Co2
Source: Alexandria via LeMat-Bulk
Functional: GGA-PBE
Structure: relaxed

Output
* space group: Cmmm (65)
* total magnetic moment: 0.194 μB per atom
* electronic total energy: -57.3 eV/cell
* energy relative to the lowest polymorph listed for this composition: 12.6 meV/atom
* energy of formation: -0.057 eV/atom

```
TbPm2Co2
1.0
4.0205 0.0000 0.0000
0.0000 14.3123 0.0000
0.0000 0.0000 4.1370
Tb Pm Co
2 4 4
Cartesian
0.0000 0.0000 0.0000
2.0103 7.1562 0.0000
0.0000 5.0793 2.0685
0.0000 9.2331 2.0685
2.0103 2.0769 2.0685
2.0103 12.2354 2.0685
0.0000 3.0166 0.0000
0.0000 11.2958 0.0000
2.0103 4.1396 0.0000
2.0103 10.1727 0.0000
```

***

# 6
Compound: RbHg2I
Source: Alexandria via LeMat-Bulk
Functional: GGA-PBE
Structure: relaxed

Output
* space group: Fm-3m (225)
* total magnetic moment: 0.000 μB per atom
* electronic total energy: -21.6 eV/cell
* energy relative to the lowest polymorph listed for this composition: 135.0 meV/atom
* raw formation energy: -13.1 kcal/mol of atoms

```
RbHg2I
1.0
8.7420 0.0000 0.0000
0.0000 8.7420 0.0000
0.0000 0.0000 8.7420
Rb Hg I
4 8 4
Cartesian
0.0000 0.0000 0.0000
0.0000 4.3710 4.3710
4.3710 0.0000 4.3710
4.3710 4.3710 0.0000
2.1855 2.1855 2.1855
2.1855 2.1855 6.5565
2.1855 6.5565 2.1855
2.1855 6.5565 6.5565
6.5565 2.1855 2.1855
6.5565 2.1855 6.5565
6.5565 6.5565 2.1855
6.5565 6.5565 6.5565
0.0000 0.0000 4.3710
0.0000 4.3710 0.0000
4.3710 0.0000 0.0000
4.3710 4.3710 4.3710
```

***

# 7
Compound: MnCu2P
Source: Alexandria via LeMat-Bulk
Functional: GGA-PBE
Structure: relaxed

Output
* space group: P2/m (10)
* total magnetic moment: 0.840 μB per atom
* electronic total energy: -22.6 eV/cell
* energy of formation: 0.031 eV/atom

```
MnCu2P
1.0
2.7846 0.0000 0.0000
0.0000 4.0056 0.0000
-1.2590 0.0000 4.6097
Mn Cu P
1 2 1
Cartesian
0.0000 0.0000 0.0000
0.1843 2.0028 3.4125
1.3412 2.0028 1.1972
0.7628 0.0000 2.3048
```

***

# 8
Compound: Sr4In3
Source: Alexandria via LeMat-Bulk
Functional: GGA-PBE
Structure: relaxed

Output
* space group: R-3 (148)
* total magnetic moment: 0.000 μB per atom
* electronic total energy: -34.9 eV/cell
* energy relative to the lowest polymorph listed for this composition: 0.0 meV/atom
* energy of formation: -0.359 eV/atom

```
Sr4In3
1.0
7.7777 4.4905 2.3766
-7.7777 4.4905 2.3766
0.0000 -8.9809 2.3766
Sr In
8 6
Cartesian
0.0000 0.0000 0.0000
-5.3874 -1.7634 3.5560
-1.1665 -5.5474 3.5739
-4.2209 3.7839 3.5739
0.0000 0.0000 3.5650
4.2209 -3.7839 3.5560
1.1665 5.5474 3.5560
5.3874 1.7634 3.5740
-3.0851 0.6334 2.3259
0.9940 -2.9885 2.3259
-2.0911 -2.3551 4.8040
2.0911 2.3551 2.3259
-0.9940 2.9885 4.8040
3.0851 -0.6334 4.8040
```

***

# 9
Compound: Si2TeRu2
Source: Alexandria via LeMat-Bulk
Functional: GGA-PBE
Structure: relaxed

Output
* space group: P4/mbm (127)
* total magnetic moment: 0.000 μB per atom
* electronic total energy: -67.0 eV/cell
* energy relative to the lowest polymorph listed for this composition: 0.0 meV/atom
* raw formation energy: -4.5 kcal/mol of atoms

```
Si2TeRu2
1.0
7.2979 0.0000 0.0000
0.0000 7.2979 0.0000
0.0000 0.0000 2.9134
Si Te Ru
4 2 4
Cartesian
0.9852 2.6638 0.0000
2.6638 6.3127 0.0000
4.6342 0.9852 0.0000
6.3127 4.6342 0.0000
0.0000 0.0000 1.4567
3.6490 3.6490 1.4567
1.0941 4.7430 1.4567
2.5549 1.0941 1.4567
4.7430 6.2039 1.4567
6.2039 2.5549 1.4567
```

***

# 10
Compound: CsPIrO2
Source: Alexandria via LeMat-Bulk
Functional: GGA-PBE
Structure: relaxed

Output
* space group: P4/mmm (123)
* total magnetic moment: 0.132 μB per atom
* electronic total energy: -17.4 eV/cell
* raw formation energy: 35.4 kcal/mol of atoms

```
CsPIrO2
1.0
4.0104 0.0000 0.0000
0.0000 4.0104 0.0000
0.0000 0.0000 7.7967
Cs P Ir O
1 1 1 2
Cartesian
0.0000 0.0000 0.0000
0.0000 0.0000 3.8984
2.0052 2.0052 3.8984
0.0000 2.0052 0.0000
2.0052 0.0000 0.0000
```

***

# 11
Compound: Na2AlBiCl
Source: Alexandria via LeMat-Bulk
Functional: GGA-PBE
Structure: relaxed

Output
* space group: P4/mmm (123)
* total magnetic moment: 0.000 μB per atom
* electronic total energy: -13.4 eV/cell
* energy relative to the lowest polymorph listed for this composition: 0.0 meV/atom
* raw formation energy: -6.1 kcal/mol of atoms

```
Na2AlBiCl
1.0
6.0807 0.0000 0.0000
0.0000 6.0807 0.0000
0.0000 0.0000 5.4094
Na Al Bi Cl
2 1 1 1
Cartesian
0.0000 3.0403 0.0000
3.0403 0.0000 0.0000
0.0000 0.0000 2.7047
0.0000 0.0000 0.0000
3.0403 3.0403 2.7047
```

***

# 12
Compound: ZnSbOs2
Source: Alexandria via LeMat-Bulk
Functional: GGA-PBE
Structure: relaxed

Output
* space group: C2/m (12)
* total magnetic moment: 0.000 μB per atom
* electronic total energy: -50.4 eV/cell
* energy relative to the lowest polymorph listed for this composition: 318.5 meV/atom
* raw formation energy: 15.2 kcal/mol of atoms

```
ZnSbOs2
1.0
5.8541 0.0000 0.0000
0.0000 8.6883 0.0000
-1.4345 0.0000 2.5837
Zn Sb Os
2 2 4
Cartesian
0.0000 0.0000 0.0000
2.9270 4.3442 0.0000
0.0000 4.3442 0.0000
2.9270 0.0000 0.0000
0.7462 2.1721 1.2918
0.7462 6.5162 1.2918
3.6733 2.1721 1.2918
3.6733 6.5162 1.2918
```

***

# 13
Compound: CrCdSb3
Source: Alexandria via LeMat-Bulk
Functional: GGA-PBE
Structure: relaxed

Output
* space group: Pm-3m (221)
* total magnetic moment: 0.242 μB per atom
* electronic total energy: -21.0 eV/cell
* energy relative to the lowest polymorph listed for this composition: 0.0 meV/atom
* raw formation energy: 8.9 kcal/mol of atoms

```
CrCdSb3
1.0
5.0931 0.0000 0.0000
0.0000 5.0931 0.0000
0.0000 0.0000 5.0931
Cr Cd Sb
1 1 3
Cartesian
0.0000 0.0000 0.0000
2.5465 2.5465 2.5465
0.0000 0.0000 2.5465
0.0000 2.5465 0.0000
2.5465 0.0000 0.0000
```

***

# 14
Compound: K2CaPt
Source: Alexandria via LeMat-Bulk
Functional: GGA-PBE
Structure: relaxed

Output
* space group: Pmmm (47)
* total magnetic moment: 0.000 μB per atom
* electronic total energy: -9.6 eV/cell
* energy relative to the lowest polymorph listed for this composition: 425.9 meV/atom
* energy of formation: 0.170 eV/atom

```
K2CaPt
1.0
4.6297 0.0000 0.0000
0.0000 4.6586 0.0000
0.0000 0.0000 6.4473
K Ca Pt
2 1 1
Cartesian
0.0000 0.0000 1.3917
0.0000 0.0000 5.0556
2.3149 2.3293 3.2236
2.3149 2.3293 0.0000
```

***

# 15
Compound: NaTl2In2Hg
Source: Alexandria via LeMat-Bulk
Functional: GGA-PBE
Structure: relaxed

Output
* space group: Pmc2_1 (26)
* total magnetic moment: 0.000 μB per atom
* electronic total energy: -24.3 eV/cell
* energy of formation: -0.053 eV/atom

```
NaTl2In2Hg
1.0
5.5289 0.0000 0.0000
0.0000 9.1612 0.0000
0.0000 0.0000 6.6899
Na Tl In Hg
2 4 4 2
Cartesian
0.0000 0.0072 0.0000
0.0000 9.1540 3.3450
0.0000 2.9951 1.6992
0.0000 6.1661 5.0441
2.7644 1.5583 4.9883
2.7644 7.6029 1.6434
0.0000 3.1070 5.0398
0.0000 6.0542 1.6949
2.7644 4.5647 0.0135
2.7644 4.5965 3.3584
2.7644 1.5372 1.6508
2.7644 7.6240 4.9958
```

***

# 16
Compound: Cs2H2SCl2
Source: Alexandria via LeMat-Bulk
Functional: GGA-PBE
Structure: relaxed

Output
* space group: P-1 (2)
* total magnetic moment: 0.017 μB per atom
* electronic total energy: -23.1 eV/cell

```
Cs2H2SCl2
1.0
4.8359 0.0000 0.0000
1.4315 6.4090 0.0000
1.4752 0.1367 6.9203
Cs H S Cl
2 2 1 2
Cartesian
0.7316 1.7631 1.6006
7.0110 4.7826 5.3197
3.9750 5.5285 2.4124
3.7676 1.0171 4.5079
3.1556 0.0683 3.4602
3.2336 4.5546 1.2902
4.5090 1.9911 5.6302
```

***

# 17
Compound: TlSi2Mo
Source: Alexandria via LeMat-Bulk
Functional: GGA-PBE
Structure: relaxed

Output
* space group: Cm (8)
* total magnetic moment: 0.000 μB per atom
* electronic total energy: -45.7 eV/cell
* energy relative to the lowest polymorph listed for this composition: 140.2 meV/atom
* raw formation energy: 6.8 kcal/mol of atoms

```
TlSi2Mo
1.0
14.1535 0.0000 0.0000
0.0000 3.3411 0.0000
-0.8712 0.0000 3.4166
Tl Si Mo
2 4 2
Cartesian
0.0000 0.0000 0.0000
7.0767 1.6706 0.0000
2.5008 0.0000 2.4761
4.5609 0.0000 1.1815
9.5776 1.6706 2.4761
11.6376 1.6706 1.1815
2.5580 1.6706 0.6713
9.6348 0.0000 0.6713
```

***

# 18
Compound: Pm8YSc2
Source: Alexandria via LeMat-Bulk
Functional: GGA-PBE
Structure: relaxed

Output
* space group: C2/m (12)
* total magnetic moment: 0.000 μB per atom
* electronic total energy: -55.4 eV/cell
* energy relative to the lowest polymorph listed for this composition: 31.6 meV/atom
* energy of formation: 0.156 eV/atom

```
Pm8YSc2
1.0
4.5093 -8.0883 0.0000
4.5093 8.0883 0.0000
-3.1959 0.0000 4.9418
Pm Y Sc
8 1 2
Cartesian
-0.1993 1.9472 3.3360
4.5093 4.7155 0.0000
-0.1993 -1.9472 3.3360
3.1594 0.0000 1.0167
2.6634 0.0000 3.9251
6.0221 1.9472 1.6058
4.5093 -4.7155 0.0000
6.0221 -1.9472 1.6058
0.0000 0.0000 0.0000
2.9114 3.0572 2.4709
2.9114 -3.0572 2.4709
```

***

# 19
Compound: MgTi2
Source: Alexandria via LeMat-Bulk
Functional: GGA-PBE
Structure: relaxed

Output
* space group: P2_1/m (11)
* total magnetic moment: 0.000 μB per atom
* electronic total energy: -135.7 eV/cell
* energy of formation: 0.142 eV/atom

```
MgTi2
1.0
7.9693 0.0000 0.0000
0.0000 4.7036 0.0000
-2.2184 0.0000 11.8660
Mg Ti
8 16
Cartesian
0.2515 1.1759 3.1431
-0.7390 1.1759 9.1130
0.9012 3.5277 4.8216
1.4964 3.5277 1.7964
4.2546 1.1759 10.0696
4.8498 1.1759 7.0444
6.4899 3.5277 2.7530
5.4995 3.5277 8.7229
0.8359 1.1759 0.1467
-0.2464 1.1759 6.1602
-0.1389 3.5277 10.8058
0.4717 3.5277 7.7294
1.9635 1.1759 8.0581
1.4621 1.1759 11.0952
2.6503 1.1759 5.1146
3.2466 1.1759 2.1297
2.5044 3.5277 9.7364
3.1006 3.5277 6.7515
4.2888 3.5277 0.7708
3.7874 3.5277 3.8079
5.2792 1.1759 4.1366
5.8899 1.1759 1.0602
5.9974 3.5277 5.7059
4.9151 3.5277 11.7193
```

***

# 20
Compound: Gd2MgTl
Source: Alexandria via LeMat-Bulk
Functional: GGA-PBE
Structure: relaxed

Output
* space group: P4/mmm (123)
* total magnetic moment: 3.698 μB per atom
* electronic total energy: -33.2 eV/cell
* energy relative to the lowest polymorph listed for this composition: 7.9 meV/atom
* energy of formation: -0.264 eV/atom

```
Gd2MgTl
1.0
4.9771 0.0000 0.0000
0.0000 4.9771 0.0000
0.0000 0.0000 4.4392
Gd Mg Tl
2 1 1
Cartesian
0.0000 2.4886 0.0000
2.4886 0.0000 0.0000
0.0000 0.0000 2.2196
2.4886 2.4886 2.2196
```